# AlWSe2 (PBE, optimized geometry)
# N(E_F): 2.1 states/eV/cell
# Theoretical density: 8.3 g/cm³
# Energy: -23.2 eV per formula unit
# Size of the total moment: 0.00 μB/cell
# Formation energy (no corrections): 0.47 eV/f.u.
data_AlWSe2
_chemical_formula_sum 'Al1 W1 Se2'
_cell_length_a 3.130
_cell_length_b 3.130
_cell_length_c 7.504
_cell_angle_alpha 90.00
_cell_angle_beta 90.00
_cell_angle_gamma 90.00
_space_group_name_H-M_alt 'P 1'
_space_group_IT_number 1
_space_group_name_Hall 'P 1'
loop_
_atom_site_label
_atom_site_fract_x
_atom_site_fract_y
_atom_site_fract_z
Al1 0.000 0.000 0.000
W1 0.000 0.000 0.500
Se1 0.500 0.500 0.294
Se2 0.500 0.500 0.706

---

# Al2WSe (PBE, optimized geometry)
# N(E_F): 20.6 states/eV/cell
# Theoretical density: 8.0 g/cm³
# Energy: -21.8 eV per formula unit
# Size of the total moment: 0.02 μB/cell
# Formation energy (no corrections): 2.09 eV/f.u.
data_Al2WSe
_chemical_formula_sum 'Al8 W4 Se4'
_cell_length_a 6.399
_cell_length_b 6.399
_cell_length_c 6.399
_cell_angle_alpha 90.00
_cell_angle_beta 90.00
_cell_angle_gamma 90.00
_space_group_name_H-M_alt 'P 1'
_space_group_IT_number 1
_space_group_name_Hall 'P 1'
loop_
_atom_site_label
_atom_site_fract_x
_atom_site_fract_y
_atom_site_fract_z
Al1 0.000 0.000 0.000
Al2 0.000 0.500 0.500
Al3 0.250 0.250 0.250
Al4 0.250 0.750 0.750
Al5 0.500 0.000 0.500
Al6 0.500 0.500 0.000
Al7 0.750 0.250 0.750
Al8 0.750 0.750 0.250
W1 0.000 0.000 0.500
W2 0.000 0.500 0.000
W3 0.500 0.000 0.000
W4 0.500 0.500 0.500
Se1 0.250 0.250 0.750
Se2 0.250 0.750 0.250
Se3 0.750 0.250 0.250
Se4 0.750 0.750 0.750

---

What is the N(E_F) in the second record?
20.6 states/eV/cell